Entry 1:
This record from Alexandria via LeMat-Bulk describes Ag4Hg2W after structural relaxation. The functional is PBE-GGA.

Cell and atoms, written as CIF:
```
data_Ag4Hg2W
_chemical_formula_sum 'Ag8 Hg4 W2'
_space_group_name_H-M_alt 'I 4/m m m'
_space_group_IT_number 139
_space_group_name_Hall '-I 4 2'
_cell_length_a 5.177
_cell_length_b 5.177
_cell_length_c 14.005
_cell_angle_alpha 90.00
_cell_angle_beta 90.00
_cell_angle_gamma 90.00
loop_
_atom_site_label
_atom_site_type_symbol
_atom_site_fract_x
_atom_site_fract_y
_atom_site_fract_z
Ag1 Ag 0.000 0.000 0.191
Ag2 Ag 0.000 0.500 0.000
Hg1 Hg 0.000 0.000 0.387
W1 W 0.000 0.000 0.000
```

The calculation puts the density at 8.99 g cm⁻³. As for the magnetic moment: 1.71 μB per formula unit. The total DFT energy (no corrections) comes out at -2.42 eV per atom. The calculation puts the formation energy at 8.0 eV/f.u.

=====

Entry 2:
This record from Alexandria via LeMat-Bulk describes Th8FeC3S4 after structural relaxation. The functional is PBE-GGA.

Cell and atoms, written as CIF:
```
data_Th8FeC3S4
_chemical_formula_sum 'Th24 Fe3 C9 S12'
_space_group_name_H-M_alt 'R -3 m'
_space_group_IT_number 166
_space_group_name_Hall '-R 3 2"'
_cell_length_a 7.8026
_cell_length_b 7.8026
_cell_length_c 20.0450
_cell_angle_alpha 90.00
_cell_angle_beta 90.00
_cell_angle_gamma 120.00
loop_
_atom_site_label
_atom_site_type_symbol
_atom_site_fract_x
_atom_site_fract_y
_atom_site_fract_z
Th1 Th 0.0000 0.0000 0.2382
Th2 Th 0.0066 0.5033 0.7610
Fe1 Fe 0.0000 0.0000 0.5000
C1 C 0.0000 0.5000 0.5000
S1 S 0.0000 0.0000 0.0000
S2 S 0.0000 0.5000 0.0000
```

The calculation puts the density at 9.79 g cm⁻³. As for the magnetic moment: 0.00 μB per formula unit. The total DFT energy (no corrections) comes out at -8.08 eV per atom. The uncorrected formation energy comes out at -1.080 eV per atom.